Model w:
Computed, not measured: crystalline PrNbAsO at its relaxed geometry at the PBE level of DFT.

Cell and atoms, written as POSCAR:
```
PrNbAsO
1.0
-4.212 0.586 1.842
2.180 -1.893 5.587
1.415 5.765 1.401
Nb O Pr As
2 2 2 2
Cartesian
-1.106 3.156 2.296
-0.124 -1.194 5.927
0.218 0.785 6.079
-0.527 4.930 3.055
2.211 1.101 4.705
1.899 4.868 2.793
2.937 3.952 5.458
1.166 1.992 2.033
```

Properties
Volume in Å³/atom: 22.22

---

Model x:
Computed, not measured: crystalline PrNbAsO at its relaxed geometry at the PBE level of DFT.

Cell and atoms, written as POSCAR:
```
PrNbAsO
1.0
-4.751 -1.138 0.091
0.842 -3.315 2.470
-0.869 4.111 5.813
Nb As Pr O
2 2 2 2
Cartesian
-1.132 2.015 6.692
-3.958 -0.820 3.851
-3.409 0.814 5.857
-1.414 -0.869 2.919
-3.260 -0.404 0.569
-2.066 2.041 3.443
-4.379 0.827 2.602
-1.548 3.663 5.443
```

Properties
Volume in Å³/atom: 18.48

---

Model y:
Computed, not measured: crystalline PrNbAsO at its relaxed geometry at the PBE level of DFT.

Cell and atoms, written as POSCAR:
```
PrNbAsO
1.0
-1.758 -2.461 2.944
2.730 -3.078 -0.943
5.241 2.937 5.585
O Nb As Pr
2 2 2 2
Cartesian
-0.636 -2.615 1.972
1.608 -2.924 0.029
0.717 -1.119 1.006
5.496 -1.483 6.580
1.976 -3.455 2.830
4.237 0.854 4.756
1.984 -1.147 4.765
4.228 -1.455 2.821
```

Properties
Volume in Å³/atom: 18.27

---

Model z:
Computed, not measured: crystalline PrNbAsO at its relaxed geometry at the PBE level of DFT.

Cell and atoms, written as POSCAR:
```
PrNbAsO
1.0
4.054 0.000 0.000
0.000 4.054 0.000
0.000 0.000 9.340
Pr Nb As O
2 2 2 2
Cartesian
1.014 1.014 1.210
3.041 3.041 8.131
1.014 3.041 4.670
3.041 1.014 4.670
3.041 3.041 2.911
1.014 1.014 6.429
3.041 1.014 0.000
1.014 3.041 0.000
```

Properties
Volume in Å³/atom: 19.19

---

Stability check: which of them is least stable? model y.

---

Model w:
Computed, not measured: crystalline NbReAsO at its relaxed geometry at the PBE level of DFT.

Cell and atoms, written as POSCAR:
```
NbReAsO
1.0
3.782 0.000 0.000
0.000 3.782 0.000
0.000 0.000 7.782
Nb As O Re
2 2 2 2
Cartesian
0.946 0.946 1.283
2.837 2.837 6.499
2.837 2.837 2.173
0.946 0.946 5.609
2.837 0.946 0.000
0.946 2.837 0.000
0.946 2.837 3.891
2.837 0.946 3.891
```

Properties
Volume in Å³/atom: 13.91

---

Model x:
Computed, not measured: crystalline NbReAsO at its relaxed geometry at the PBE level of DFT.

Cell and atoms, written as POSCAR:
```
NbReAsO
1.0
-0.800 2.328 -2.618
-3.975 1.528 2.574
3.950 4.927 3.175
As Re Nb O
2 2 2 2
Cartesian
0.389 5.157 4.467
0.164 2.021 1.747
-0.970 3.468 3.380
2.762 5.256 3.830
1.333 4.202 0.863
-3.543 2.854 1.154
2.292 5.775 1.968
-2.124 4.249 1.961
```

Properties
Volume in Å³/atom: 15.80

---

Stability check: which of them is least stable? model x.

---

Model w:
Computed, not measured: crystalline NbReAsO at its relaxed geometry at the PBE level of DFT.

Cell and atoms, written as POSCAR:
```
NbReAsO
1.0
3.845 0.000 0.000
0.000 3.845 0.000
0.000 0.000 7.384
O As Re Nb
2 2 2 2
Cartesian
1.922 1.922 0.000
0.000 0.000 0.000
1.922 0.000 5.614
0.000 1.922 1.770
1.922 0.000 1.244
0.000 1.922 6.140
0.000 0.000 3.692
1.922 1.922 3.692
```

Properties
Volume in Å³/atom: 13.64

---

Model x:
Computed, not measured: crystalline NbReAsO at its relaxed geometry at the PBE level of DFT.

Cell and atoms, written as POSCAR:
```
NbReAsO
1.0
4.223 0.000 0.000
0.000 5.698 0.000
0.000 0.000 5.246
As Nb Re O
2 2 2 2
Cartesian
0.000 3.899 4.710
0.000 1.799 2.086
0.000 1.057 4.683
0.000 4.642 2.059
2.111 0.534 2.891
2.111 5.165 0.268
2.111 1.374 4.789
2.111 4.324 2.166
```

Properties
Volume in Å³/atom: 15.78

---

Stability check: which of them is least stable? model w.

---

Model w:
Computed, not measured: crystalline ScNbAsO at its relaxed geometry at the PBE level of DFT.

Cell and atoms, written as POSCAR:
```
ScNbAsO
1.0
3.861 0.000 0.000
0.000 3.861 0.000
0.000 0.000 8.664
Sc Nb As O
2 2 2 2
Cartesian
0.965 0.965 0.936
2.895 2.895 7.728
2.895 0.965 4.332
0.965 2.895 4.332
0.965 0.965 6.178
2.895 2.895 2.486
0.965 2.895 0.000
2.895 0.965 0.000
```

Properties
Volume in Å³/atom: 16.14

---

Model x:
Computed, not measured: crystalline ScNbAsO at its relaxed geometry at the PBE level of DFT.

Cell and atoms, written as POSCAR:
```
ScNbAsO
1.0
-2.896 -1.145 2.685
3.528 -0.663 3.523
-0.682 5.947 1.802
Sc O As Nb
2 2 2 2
Cartesian
0.650 2.545 4.935
-0.499 -0.149 2.546
-1.422 1.882 2.418
1.137 4.310 6.214
0.826 4.452 2.791
1.964 1.329 2.685
0.087 2.521 1.169
2.507 4.975 4.826
```

Properties
Volume in Å³/atom: 16.16

---

Stability check: which of them is least stable? model x.